Density functional theory data (PBE) for a relaxed ScOsI3 crystal.

Unit cell a=5.3425 b=5.3425 c=5.3425 alpha=90.00 beta=90.00 gamma=90.00
With the nearest neighbours (Å) after each atom.
Fractional coordinates of all 5 atoms:
Sc: 0.0000 0.0000 0.0000  12 I 3.78
Os: 0.5000 0.5000 0.5000  6 I 2.67
I: 0.0000 0.5000 0.5000  2 Os 2.67
I: 0.5000 0.0000 0.5000  2 Os 2.67
I: 0.5000 0.5000 0.0000  2 Os 2.67

Output
Volume ... 30.50 Å³/atom
Symmetry ... Pm-3m, No. 221
Uncorrected energy ... -3.79 eV per atom
Formation energy (no corrections) ... 649 meV/atom

Density functional theory data (PBE) for a relaxed ScOsI3 crystal.

Unit cell a=5.7160 b=5.7160 c=5.7160 alpha=90.00 beta=90.00 gamma=90.00
With the nearest neighbours (Å) after each atom.
Fractional coordinates of all 5 atoms:
Sc: 0.0000 0.0000 0.0000  6 I 2.86
Os: 0.5000 0.5000 0.5000  12 I 4.04
I: 0.0000 0.0000 0.5000  2 Sc 2.86
I: 0.0000 0.5000 0.0000  2 Sc 2.86
I: 0.5000 0.0000 0.0000  2 Sc 2.86

Output
Volume ... 37.35 Å³/atom
Symmetry ... Pm-3m, No. 221
Uncorrected energy ... -3.71 eV per atom
Formation energy (no corrections) ... 735 meV/atom

Density functional theory data (PBE) for a relaxed Sc3OsI3 crystal.

Unit cell a=8.5476 b=4.0683 c=12.3544 alpha=90.00 beta=92.41 gamma=90.00
With the nearest neighbours (Å) after each atom.
Fractional coordinates of all 14 atoms:
Sc: 0.0871 0.2500 0.2884  1 Os 2.57
Sc: 0.1430 0.2500 0.8713  3 Os 2.65-2.77
Sc: 0.2371 0.7500 0.0950  2 Os 2.64
Sc: 0.7629 0.2500 0.9050  2 Os 2.64
Sc: 0.8570 0.7500 0.1287  3 Os 2.65-2.77
Sc: 0.9129 0.7500 0.7116  1 Os 2.57
Os: 0.0405 0.2500 0.0811  6 Sc 2.57-2.77
Os: 0.9595 0.7500 0.9189  6 Sc 2.57-2.77
I: 0.1394 0.2500 0.6247  3 Sc 3.04-3.05
I: 0.3317 0.7500 0.3435  3 Sc 2.98-3.14
I: 0.4204 0.7500 0.8739  3 Sc 3.12-3.21
I: 0.5796 0.2500 0.1261  3 Sc 3.12-3.21
I: 0.6683 0.2500 0.6565  3 Sc 2.98-3.14
I: 0.8606 0.7500 0.3753  3 Sc 3.04-3.05

Output
Volume ... 30.66 Å³/atom
Symmetry ... P2_1/m, No. 11
Uncorrected energy ... -5.87 eV per atom
Formation energy (no corrections) ... -883 meV/atom

Density functional theory data (PBE) for a relaxed Sc3OsI crystal.

Unit cell a=5.0985 b=5.0985 c=5.0985 alpha=90.00 beta=90.00 gamma=90.00
With the nearest neighbours (Å) after each atom.
Fractional coordinates of all 5 atoms:
Sc: 0.0000 0.0000 0.5000  2 I 2.55
Sc: 0.0000 0.5000 0.0000  2 I 2.55
Sc: 0.5000 0.0000 0.0000  2 I 2.55
Os: 0.5000 0.5000 0.5000  12 Sc 3.61
I: 0.0000 0.0000 0.0000  6 Sc 2.55

Output
Volume ... 26.51 Å³/atom
Symmetry ... Pm-3m, No. 221
Uncorrected energy ... -5.25 eV per atom
Formation energy (no corrections) ... 1104 meV/atom

Density functional theory data (PBE) for a relaxed Sc2OsI crystal.

Unit cell a=8.5802 b=8.5802 c=8.5802 alpha=26.86 beta=26.86 gamma=26.86
With the nearest neighbours (Å) after each atom.
Fractional coordinates of all 4 atoms:
Sc: 0.1153 0.1153 0.1153  3 Os 2.63, 1 I 2.86
Sc: 0.8847 0.8847 0.8847  3 Os 2.63, 1 I 2.86
Os: 0.5000 0.5000 0.5000  6 Sc 2.63
I: 0.0000 0.0000 0.0000  2 Sc 2.86

Output
Volume ... 28.43 Å³/atom
Symmetry ... R-3m, No. 166
Uncorrected energy ... -6.62 eV per atom
Formation energy (no corrections) ... -260 meV/atom

Density functional theory data (PBE) for a relaxed Sc2OsI crystal.

Unit cell a=4.8728 b=4.8728 c=4.8728 alpha=60.00 beta=60.00 gamma=60.00
With the nearest neighbours (Å) after each atom.
Fractional coordinates of all 4 atoms:
Sc: 0.2500 0.2500 0.2500  4 Os 2.98, 4 I 2.98
Sc: 0.7500 0.7500 0.7500  4 I 2.98, 4 Os 2.98
Os: 0.0000 0.0000 0.0000  8 Sc 2.98
I: 0.5000 0.5000 0.5000  8 Sc 2.98

Output
Volume ... 20.45 Å³/atom
Symmetry ... Fm-3m, No. 225
Uncorrected energy ... -6.27 eV per atom
Formation energy (no corrections) ... 93 meV/atom